No. 1
VASP calculation (PBE) on Zn4OsRh after structural relaxation.

Summary:
As for the formation energy: 0.83 eV/f.u. Its electronic total energy is -3.807 eV per atom. Its space-group type is F-43m, No. 216.

Unit cell a=4.8814 b=4.8814 c=4.8814 alpha=60.00 beta=60.00 gamma=60.00
Last column: nearest neighbours and their distance in Å.
Fractional coordinates of all 6 atoms:
Rh (0.0000, 0.0000, 0.0000)  12 Zn 2.86, 4 Os 2.99
Os (0.7500, 0.7500, 0.7500)  12 Zn 2.86, 4 Rh 2.99
Zn (0.3752, 0.3752, 0.3752)  6 Zn 2.44-2.45
Zn (0.3752, 0.8743, 0.3752)  6 Zn 2.44-2.45
Zn (0.8743, 0.3752, 0.3752)  6 Zn 2.44-2.45
Zn (0.3752, 0.3752, 0.8743)  6 Zn 2.44-2.45

No. 2
VASP calculation (PBE) on HBr3Cl after structural relaxation.

Summary:
For the polymorph energy (0 for the lowest one), the calculation gives 0.410 eV per atom. Its electronic total energy is -1.197 eV per atom. Its space-group type is Pm-3m, No. 221.

Unit cell a=5.3324 b=5.3324 c=5.3324 alpha=90.00 beta=90.00 gamma=90.00
Last column: nearest neighbours and their distance in Å.
Fractional coordinates of all 5 atoms:
Cl (0.0000, 0.0000, 0.0000)  6 Br 2.67
Br (0.0000, 0.0000, 0.5000)  2 Cl 2.67
Br (0.0000, 0.5000, 0.0000)  2 Cl 2.67
Br (0.5000, 0.0000, 0.0000)  2 Cl 2.67
H (0.5000, 0.5000, 0.5000)  12 Br 3.77

No. 3
VASP calculation (PBE) on YBeCr2H after structural relaxation.

Summary:
Its electronic total energy is -5.534 eV per atom. Its space-group type is P4/mmm, No. 123.

Unit cell a=4.2964 b=5.2477 c=4.2964 alpha=90.00 beta=90.00 gamma=90.00
Last column: nearest neighbours and their distance in Å.
Fractional coordinates of all 5 atoms:
Cr (0.5000, 0.0000, 0.0000)  2 Be 2.15
Cr (0.0000, 0.0000, 0.5000)  2 Be 2.15
Be (0.0000, 0.0000, 0.0000)  4 Cr 2.15
H (0.5000, 0.5000, 0.5000)  4 Y 3.04, 8 Cr 3.39
Y (0.0000, 0.5000, 0.0000)  2 Be 2.62